[1]
Crystalline KMg2Tl at its relaxed geometry, computed with PBE-GGA.

Properties
Crystal system ... tetragonal
Offset from the most stable computed form ... 0.000 eV per formula unit
Symmetry ... P4mm, No. 99

```
KMg2Tl
1.0
3.8194 0.0000 0.0000
0.0000 3.8194 0.0000
0.0000 0.0000 8.6227
K Mg Tl
1 2 1
Cartesian
0.0000 0.0000 0.0000 K
0.0000 0.0000 4.4861 Mg
1.9097 1.9097 2.8504 Mg
1.9097 1.9097 6.0685 Tl
```



[2]
Crystalline KMgTl2 at its relaxed geometry, computed with PBE-GGA.

Properties
Crystal system ... monoclinic
Final energy ... -1.86 eV/atom
Symmetry ... Pm, No. 6

```
KMgTl2
1.0
3.4597 0.0000 0.0000
0.0000 5.0374 0.0000
-1.6762 0.0000 7.4397
K Mg Tl
1 1 2
Cartesian
0.0000 0.0000 0.0000 K
1.4925 2.5187 2.6533 Mg
-0.4742 0.0000 3.5419 Tl
0.0982 2.5187 5.5170 Tl
```



[3]
Crystalline KMgTl2 at its relaxed geometry, computed with PBE-GGA.

Properties
Crystal system ... cubic
Final energy ... -1.80 eV/atom
Symmetry ... F-43m, No. 216

```
KMgTl2
1.0
0.0000 3.9517 3.9517
3.9517 0.0000 3.9517
3.9517 3.9517 0.0000
K Mg Tl
1 1 2
Cartesian
0.0000 0.0000 0.0000 K
1.9758 1.9758 1.9758 Mg
3.9517 3.9517 3.9517 Tl
5.9275 5.9275 5.9275 Tl
```



[4]
Crystalline KMgTl2 at its relaxed geometry, computed with PBE-GGA.

Properties
Crystal system ... tetragonal
Final energy ... -1.86 eV/atom
Symmetry ... P4mm, No. 99

```
KMgTl2
1.0
4.0251 0.0000 0.0000
0.0000 4.0251 0.0000
0.0000 0.0000 8.2621
K Mg Tl
1 1 2
Cartesian
0.0000 0.0000 0.0000 K
2.0126 2.0126 2.7310 Mg
0.0000 0.0000 3.9647 Tl
2.0126 2.0126 5.8976 Tl
```



[5]
Crystalline KMgTl2 at its relaxed geometry, computed with PBE-GGA.

Properties
Crystal system ... tetragonal
Final energy ... -1.81 eV/atom
Symmetry ... P4/mmm, No. 123

```
KMgTl2
1.0
5.3110 0.0000 0.0000
0.0000 5.3110 0.0000
0.0000 0.0000 4.4364
K Mg Tl
1 1 2
Cartesian
0.0000 0.0000 0.0000 K
2.6555 2.6555 0.0000 Mg
0.0000 2.6555 2.2182 Tl
2.6555 0.0000 2.2182 Tl
```



[6]
Crystalline K3Mg2Tl4 at its relaxed geometry, computed with PBE-GGA.

Properties
Crystal system ... monoclinic
Final energy ... -1.82 eV/atom
Symmetry ... C2/m, No. 12

```
K3Mg2Tl4
1.0
6.5958 -2.5261 0.0000
6.5958 2.5261 0.0000
-2.5395 0.0000 10.1804
K Mg Tl
3 2 4
Cartesian
0.0000 0.0000 0.0000 K
3.3952 0.0000 6.2906 K
7.2570 0.0000 3.8898 K
3.7524 0.0000 2.2609 Mg
6.8998 0.0000 7.9195 Mg
-0.3710 0.0000 6.4224 Tl
1.3354 0.0000 9.3199 Tl
9.3168 0.0000 0.8606 Tl
11.0232 0.0000 3.7580 Tl
```



[7]
Crystalline KMg3Tl3 at its relaxed geometry, computed with PBE-GGA.

Properties
Crystal system ... cubic
Offset from the most stable computed form ... 1.476 eV per formula unit
Symmetry ... Pm-3n, No. 223

```
KMg3Tl3
1.0
8.1285 0.0000 0.0000
0.0000 8.1285 0.0000
0.0000 0.0000 8.1285
K Mg Tl
2 6 6
Cartesian
0.0000 0.0000 0.0000 K
4.0642 4.0642 4.0642 K
0.0000 2.0321 4.0642 Mg
0.0000 6.0964 4.0642 Mg
2.0321 4.0642 0.0000 Mg
4.0642 0.0000 2.0321 Mg
4.0642 0.0000 6.0964 Mg
6.0964 4.0642 0.0000 Mg
0.0000 4.0642 2.0321 Tl
0.0000 4.0642 6.0964 Tl
2.0321 0.0000 4.0642 Tl
4.0642 2.0321 0.0000 Tl
4.0642 6.0964 0.0000 Tl
6.0964 0.0000 4.0642 Tl
```



[8]
Crystalline KMg2Tl5 at its relaxed geometry, computed with PBE-GGA.

Properties
Crystal system ... orthorhombic
Final energy ... -2.03 eV/atom
Symmetry ... Immm, No. 71

```
KMg2Tl5
1.0
-2.4376 4.1505 6.2011
2.4376 -4.1505 6.2011
2.4376 4.1505 -6.2011
K Mg Tl
1 2 5
Cartesian
0.0000 0.0000 0.0000 K
2.4376 0.0000 3.2639 Mg
0.0000 4.1505 2.9372 Mg
2.4376 2.4945 -1.6945 Tl
2.4376 2.4945 1.6945 Tl
0.0000 4.1505 0.0000 Tl
0.0000 1.6560 4.5066 Tl
0.0000 1.6560 7.8955 Tl
```



[9]
Crystalline KMg6Tl12 at its relaxed geometry, computed with PBE-GGA.

Properties
Crystal system ... cubic
Offset from the most stable computed form ... 0.924 eV per formula unit
Symmetry ... Im-3, No. 204

```
KMg6Tl12
1.0
-5.1483 5.1483 5.1483
5.1483 -5.1483 5.1483
5.1483 5.1483 -5.1483
K Mg Tl
1 6 12
Cartesian
0.0000 0.0000 0.0000 K
5.1483 1.4784 0.0000 Mg
5.1483 0.0000 3.6698 Mg
3.6698 5.1483 0.0000 Mg
1.4784 0.0000 5.1483 Mg
0.0000 5.1483 1.4784 Mg
0.0000 3.6698 5.1483 Mg
5.1483 3.2073 -2.3508 Tl
2.7975 0.0000 1.9409 Tl
7.4990 0.0000 1.9409 Tl
1.9409 2.7975 0.0000 Tl
3.2073 -2.3508 5.1483 Tl
0.0000 1.9409 2.7975 Tl
5.1483 3.2073 2.3508 Tl
1.9409 7.4990 0.0000 Tl
3.2073 2.3508 5.1483 Tl
-2.3508 5.1483 3.2073 Tl
2.3508 5.1483 3.2073 Tl
0.0000 1.9409 7.4990 Tl
```



[10]
Crystalline KMgTl3 at its relaxed geometry, computed with PBE-GGA.

Properties
Crystal system ... cubic
Offset from the most stable computed form ... 0.546 eV per formula unit
Symmetry ... Pm-3m, No. 221

```
KMgTl3
1.0
5.6676 0.0000 0.0000
0.0000 5.6676 0.0000
0.0000 0.0000 5.6676
K Mg Tl
1 1 3
Cartesian
0.0000 0.0000 0.0000 K
2.8338 2.8338 2.8338 Mg
0.0000 2.8338 2.8338 Tl
2.8338 0.0000 2.8338 Tl
2.8338 2.8338 0.0000 Tl
```